[1]
Computed, not measured: a relaxed Y3ErTe4 crystal at the PBE level of DFT.

a b c (Å): 7.5660 8.6479 7.5598
angles (deg): 90.00 109.31 90.00
Last column: nearest neighbours and their distance in Å.
Space group P2/c (No. 13)
Inequivalent atoms, fractional coordinates:
Y 0.0000 0.1241 0.2500 x2  6 Te 3.07-3.09
Y 0.5000 0.1246 0.7500 x2  6 Te 3.08-3.10
Y 0.5000 0.3735 0.2500 x2  6 Te 3.07-3.10
Er 0.0000 0.3729 0.7500 x2  6 Te 3.05-3.07
Te 0.2468 0.3771 0.5000 x4  2 Er 3.07, 4 Y 3.08-3.10
Te 0.2490 0.1261 0.9987 x4  1 Er 3.05, 5 Y 3.07-3.09

Properties
For the uncorrected formation energy, the calculation gives -10.29 eV per formula unit. The offset from the most stable computed form is 0.0000 eV/atom. The crystal system is monoclinic. Its calculated density is 6.7 g/cm³. The density of states at the Fermi level comes out at 0.52 states/eV/atom.



[2]
Computed, not measured: a relaxed SrAc2NpO8 crystal at the PBE level of DFT.

a b c (Å): 4.2995 8.0516 5.6236
angles (deg): 90.00 95.71 90.00
Last column: nearest neighbours and their distance in Å.
Space group P2/m (No. 10)
Inequivalent atoms, fractional coordinates:
Sr 0.0000 0.0000 0.0000 x1  8 O 2.50-2.77
Ac 0.5000 0.2583 0.5000 x2  8 O 2.48-2.69
Np 0.0000 0.5000 0.0000 x1  6 O 2.06-2.07
O 0.0455 0.3023 0.7718 x4  1 Np 2.07
O 0.4220 0.5000 0.2094 x2  1 Np 2.06
O 0.4932 0.0000 0.7393 x2  2 Ac 2.48, 2 Sr 2.50-2.69, 1 O 2.70

Properties
For the uncorrected formation energy, the calculation gives -34.25 eV per formula unit. The crystal system is monoclinic. Its calculated density is 7.8 g/cm³. The density of states at the Fermi level comes out at 0.56 states/eV/atom.



[3]
Computed, not measured: a relaxed Li3H7Ru crystal at the PBE level of DFT.

a b c (Å): 6.8154 6.7893 4.8939
angles (deg): 90.00 132.35 90.00
Last column: nearest neighbours and their distance in Å.
Space group Cm (No. 8)
Inequivalent atoms, fractional coordinates:
Li 0.0000 0.0000 0.0000 x2  5 H 1.83-1.93
Li 0.4971 0.2246 0.5292 x4  6 H 1.93-2.12
H 0.1008 0.2654 0.1919 x4  1 Ru 1.66
H 0.1968 0.5000 0.9216 x2  1 Ru 1.68, 1 Li 1.83
H 0.3086 0.1342 0.7031 x4  1 Ru 1.64, 1 H 1.82
H 0.3355 0.5000 0.4952 x2  1 Ru 1.68
H 0.3522 0.0000 0.1921 x2  1 Ru 1.70, 1 Li 1.90
Ru 0.0329 0.5000 0.0677 x2  7 H 1.64-1.70

Properties
The crystal system is monoclinic. Its calculated density is 2.6 g/cm³. The density of states at the Fermi level comes out at 0.00 states/eV/atom. The value obtained for the total energy is -83.77 eV per cell.